A plane-wave DFT calculation with PBE was carried out for a relaxed MgInPb2 crystal.

Results
As for the uncorrected energy: -2.91 eV per atom. Its total magnetization is 0.00 μB per cell. As for the symmetry: F-43m, No. 216. The density is 8.1 g cm⁻³.

Cell: 5.4324 5.4324 5.4324 Å, 60.00 60.00 60.00°
Element x y z (fractional)
Pb1 0.0000 0.0000 0.0000
Pb2 0.2500 0.2500 0.2500
Mg1 0.7500 0.7500 0.7500
In1 0.5000 0.5000 0.5000